Record 1
Entry from Alexandria: TbHoTlSn after structural relaxation (PBE-GGA).

## Properties
**Space group**: F-43m
**Total moment**: 0.00 μB/f.u.
**Formation energy**: -450 meV per atom
**Uncorrected energy**: -0.319 Ry per atom

```
TbHoTlSn
1.0
0.000 3.786 3.786
3.786 0.000 3.786
3.786 3.786 0.000
Tb Ho Tl Sn
1 1 1 1
Cartesian
0.000 0.000 0.000
3.786 3.786 3.786
1.893 1.893 1.893
5.680 5.680 5.680
```

Record 2
Entry from Alexandria: TbHoZnSn after structural relaxation (PBE-GGA).

## Properties
**Space group**: F-43m
**Total moment**: 0.00 μB/f.u.
**Formation energy**: -498 meV per atom
**Uncorrected energy**: -0.303 Ry per atom

```
TbHoZnSn
1.0
0.000 3.664 3.664
3.664 0.000 3.664
3.664 3.664 0.000
Tb Ho Zn Sn
1 1 1 1
Cartesian
0.000 0.000 0.000
3.664 3.664 3.664
1.832 1.832 1.832
5.496 5.496 5.496
```

Record 3
Entry from Alexandria: HoTcSn after structural relaxation (PBE-GGA).

## Properties
**Space group**: P4/nmm
**Total moment**: 0.00 μB/f.u.
**Formation energy**: -319 meV per atom
**Uncorrected energy**: -0.488 Ry per atom

```
HoTcSn
1.0
4.578 0.000 0.000
0.000 4.578 0.000
0.000 0.000 6.697
Ho Tc Sn
2 2 2
Cartesian
1.145 1.145 1.467
3.434 3.434 5.230
1.145 3.434 3.349
3.434 1.145 3.349
1.145 1.145 4.866
3.434 3.434 1.831
```

Record 4
Entry from Alexandria: Ho8TcSn2 after structural relaxation (PBE-GGA).

## Properties
**Space group**: C2/m
**Total moment**: 0.00 μB/f.u.
**Formation energy**: -311 meV per atom
**Uncorrected energy**: -0.390 Ry per atom

```
Ho8TcSn2
1.0
8.587 -2.737 0.000
8.587 2.737 0.000
-2.791 0.000 6.345
Ho Tc Sn
8 1 2
Cartesian
16.488 0.000 1.545
-2.104 0.000 4.800
2.732 0.000 1.224
6.032 0.000 0.848
4.731 0.000 3.873
9.653 0.000 2.471
8.352 0.000 5.497
11.652 0.000 5.121
8.587 0.000 0.000
1.291 0.000 4.357
13.093 0.000 1.988
```

Record 5
Entry from Alexandria: HoTcSn4 after structural relaxation (PBE-GGA).

## Properties
**Space group**: I4/mcm
**Total moment**: 0.00 μB/f.u.
**Formation energy**: -292 meV per atom
**Uncorrected energy**: -0.401 Ry per atom

```
HoTcSn4
1.0
-3.450 3.450 6.061
3.450 -3.450 6.061
3.450 3.450 -6.061
Ho Tc Sn
2 2 8
Cartesian
0.000 0.000 0.000
0.000 0.000 6.061
0.000 0.000 3.030
0.000 0.000 9.091
4.513 1.063 -1.796
1.063 2.386 -1.796
4.513 1.063 1.796
1.063 2.386 1.796
2.386 1.063 4.264
-1.063 2.386 4.264
2.386 1.063 7.857
-1.063 2.386 7.857
```

Record 6
Entry from Alexandria: Ho2SnTe5 after structural relaxation (PBE-GGA).

## Properties
**Uncorrected formation energy**: -840 meV/atom
**Space group**: Cmcm
**Total moment**: 0.00 μB/f.u.
**Uncorrected energy**: -0.327 Ry per atom

```
Ho2SnTe5
1.0
3.104 -7.482 0.000
3.104 7.482 0.000
0.000 0.000 13.822
Ho Sn Te
4 2 10
Cartesian
3.104 4.959 7.831
3.104 4.959 12.902
3.104 -4.959 0.920
3.104 -4.959 5.991
3.104 4.547 3.455
3.104 -4.547 10.366
3.104 6.993 1.377
3.104 6.993 5.534
3.104 3.350 10.366
3.104 2.688 1.121
3.104 2.688 5.790
3.104 -2.688 8.032
3.104 -2.688 12.701
3.104 -3.350 3.455
3.104 -6.993 8.288
3.104 -6.993 12.445
```